--- P ---
Here is KBePCl2 after structural relaxation from Alexandria via LeMat-Bulk. Energies are from PBE.

abc: 5.171 5.171 4.274
angles: 90.00 90.00 90.00
Space group P4/mmm (No. 123)
Inequivalent atoms, fractional coordinates:
K 0.000 0.000 0.000 x1
Be 0.500 0.500 0.500 x1
P 0.500 0.500 0.000 x1
Cl 0.000 0.500 0.500 x2

Calculated values
ρ ... 2.2 Mg/m³
Total magnetic moment ... 2.0 μB per formula unit
Crystal system ... tetragonal



--- Q ---
Here is KBePCl2 after structural relaxation from Alexandria via LeMat-Bulk. Energies are from PBE.

abc: 5.790 5.790 6.123
angles: 90.00 90.00 90.00
Space group P4/mmm (No. 123)
Inequivalent atoms, fractional coordinates:
K 0.000 0.000 0.000 x1
Be 0.500 0.500 0.500 x1
P 0.000 0.000 0.500 x1
Cl 0.000 0.500 0.000 x2

Calculated values
ρ ... 1.2 Mg/m³
Total magnetic moment ... 1.9 μB per formula unit
Crystal system ... tetragonal



Need the numbers? Relative energies in meV per atom: P 0; Q 1375.



--- P ---
Here is KBeSCl2 after structural relaxation from Alexandria via LeMat-Bulk. Energies are from PBE.

abc: 5.784 5.784 5.747
angles: 90.00 90.00 90.00
Space group P4/mmm (No. 123)
Inequivalent atoms, fractional coordinates:
K 0.000 0.000 0.000 x1
Be 0.500 0.500 0.500 x1
S 0.000 0.000 0.500 x1
Cl 0.000 0.500 0.000 x2

Calculated values
ρ ... 1.3 Mg/m³
Total magnetic moment ... 1.1 μB per formula unit
Crystal system ... tetragonal



--- Q ---
Here is KBeSCl2 after structural relaxation from Alexandria via LeMat-Bulk. Energies are from PBE.

abc: 5.060 5.060 4.170
angles: 90.00 90.00 90.00
Space group P4/mmm (No. 123)
Inequivalent atoms, fractional coordinates:
K 0.000 0.000 0.000 x1
Be 0.500 0.500 0.500 x1
S 0.500 0.500 0.000 x1
Cl 0.000 0.500 0.500 x2

Calculated values
ρ ... 2.4 Mg/m³
Total magnetic moment ... 1.0 μB per formula unit
Crystal system ... tetragonal



Need the numbers? Relative energies in meV per atom: P 1553; Q 0.



--- P ---
Here is KBeS2Cl after structural relaxation from Alexandria via LeMat-Bulk. Energies are from PBE.

abc: 4.196 4.196 6.559
angles: 90.00 90.00 90.00
Space group P4/mmm (No. 123)
Inequivalent atoms, fractional coordinates:
K 0.000 0.000 0.000 x1
Be 0.500 0.500 0.500 x1
S 0.000 0.500 0.500 x2
Cl 0.500 0.500 0.000 x1

Calculated values
ρ ... 2.1 Mg/m³
Total magnetic moment ... 0.1 μB per formula unit
Crystal system ... tetragonal



--- Q ---
Here is KBeS2Cl after structural relaxation from Alexandria via LeMat-Bulk. Energies are from PBE.

abc: 6.028 6.028 5.781
angles: 90.00 90.00 90.00
Space group P4/mmm (No. 123)
Inequivalent atoms, fractional coordinates:
K 0.000 0.000 0.000 x1
Be 0.500 0.500 0.500 x1
S 0.000 0.500 0.000 x2
Cl 0.000 0.000 0.500 x1

Calculated values
ρ ... 1.2 Mg/m³
Total magnetic moment ... 4.0 μB per formula unit
Crystal system ... tetragonal



Need the numbers? Relative energies in meV per atom: P 0; Q 1712.